Density functional theory data (GGA+U) for an optimized crystal structure of LiMnBO3.

Unit cell a=8.2948 b=8.2948 c=3.2459 alpha=90.00 beta=90.00 gamma=120.00
Space group P-6 (No. 174)
Unique sites:
1 Li 0.0090 0.7082 0.0000 (multiplicity 3)
2 Mn 0.3762 0.0043 0.5000 (multiplicity 3)
3 B 0.0000 0.0000 0.5000 (multiplicity 1)
4 B 0.3333 0.6667 0.5000 (multiplicity 1)
5 B 0.6667 0.3333 0.0000 (multiplicity 1)
6 O 0.1940 0.1039 0.5000 (multiplicity 3)
7 O 0.1937 0.7125 0.5000 (multiplicity 3)
8 O 0.5626 0.1402 0.0000 (multiplicity 3)

Results
* magnetic moment: 15.0 μB per cell
* density of states at the Fermi level: 0.000 states/eV/atom
* distance to the lowest polymorph of the same formula: 0.334 eV/f.u.